No. 1
Density functional theory data (PBE) for an optimized crystal structure of AcPmEr.

Results
The calculation puts the total energy at -3.86 eV per atom. The value obtained for the formation energy from the elements is 613 meV/atom. As for the excess energy over the best structure of this formula in the dataset: 556.8 meV/atom. The calculation puts the magnetic moment at 0.00 Bohr magnetons per cell. The density of states at the Fermi level comes out at 1.31 states/eV per atom.

a b c (Å): 7.7881 7.7881 7.7881
angles (deg): 90.00 90.00 90.00
With the nearest neighbours (Å) after each atom.
Element x y z (fractional)
Er  0.5317  0.4683  0.9683  3 Pm 3.00
Er  0.0317  0.0317  0.0317  3 Pm 3.00
Ac  0.8587  0.1413  0.6413  3 Er 3.43
Ac  0.3587  0.3587  0.3587  3 Er 3.43
Pm  0.3326  0.1674  0.8326  3 Er 3.00
Ac  0.6413  0.8587  0.1413  3 Er 3.43
Pm  0.1674  0.8326  0.3326  3 Er 3.00
Pm  0.6674  0.6674  0.6674  3 Er 3.00
Er  0.9683  0.5317  0.4683  3 Pm 3.00
Ac  0.1413  0.6413  0.8587  3 Er 3.43
Pm  0.8326  0.3326  0.1674  3 Er 3.00
Er  0.4683  0.9683  0.5317  3 Pm 3.00

=====

No. 2
Density functional theory data (PBE) for an optimized crystal structure of AcPm4Er7.

Results
The calculation puts the total energy at -4.56 eV per atom. The value obtained for the formation energy from the elements is 23 meV/atom. As for the excess energy over the best structure of this formula in the dataset: 0.0 meV/atom. The calculation puts the magnetic moment at 0.00 Bohr magnetons per cell. The density of states at the Fermi level comes out at 1.45 states/eV per atom.

a b c (Å): 7.2514 6.2832 11.4996
angles (deg): 79.49 51.00 89.99
With the nearest neighbours (Å) after each atom.
Element x y z (fractional)
Pm  0.1689  0.2218  0.3322  8 Er 3.56-3.63, 4 Pm 3.56-3.62
Pm  0.4112  0.7194  0.3373  8 Er 3.52-3.66, 3 Pm 3.56-3.62, 1 Ac 3.61
Er  0.5000  0.0000  0.0000  4 Pm 3.56-3.60, 6 Er 3.59-3.62, 2 Ac 3.63
Pm  0.8311  0.7782  0.6678  8 Er 3.56-3.63, 4 Pm 3.56-3.62
Er  0.7484  0.4996  0.9993  3 Pm 3.56-3.60, 7 Er 3.58-3.66, 2 Ac 3.63-3.64
Er  0.6640  0.2237  0.3370  5 Pm 3.52-3.66, 6 Er 3.54-3.65, 1 Ac 3.61
Er  0.2516  0.5004  0.0007  3 Pm 3.56-3.60, 7 Er 3.58-3.66, 2 Ac 3.63-3.64
Er  0.9162  0.7205  0.3352  6 Pm 3.52-3.65, 5 Er 3.54-3.65, 1 Ac 3.59
Pm  0.5888  0.2806  0.6627  8 Er 3.52-3.66, 3 Pm 3.56-3.62, 1 Ac 3.61
Er  0.0838  0.2795  0.6648  6 Pm 3.52-3.65, 5 Er 3.54-3.65, 1 Ac 3.59
Er  0.3360  0.7763  0.6630  5 Pm 3.52-3.66, 6 Er 3.54-3.65, 1 Ac 3.61
Ac  0.0000  0.0000  0.0000  10 Er 3.59-3.64, 2 Pm 3.61